Material: Mn2CuHg
Method: DFT, SCAN
State: single point on PBEsol structure

Cell and atoms, written as extended XYZ:
```
8
Lattice="3.891 0.000 0.000 0.000 3.891 0.000 0.000 0.000 7.673" Properties=species:S:1:pos:R:3 pbc="T T T"
Mn 0.000 1.945 1.918
Mn 0.000 1.945 5.755
Mn 1.945 0.000 1.918
Mn 1.945 0.000 5.755
Cu 0.000 0.000 0.000
Cu 1.945 1.945 3.837
Hg 0.000 0.000 3.837
Hg 1.945 1.945 0.000
```

Values from the calculation:
Total moment   7.84 μB/f.u.
E_form   -2.5 kJ/mol of atoms
Space group   I4/mmm